SrV2HgCl | Alexandria via LeMat-Bulk | GGA-PBE | relaxed; VASP energy = -0.2775 Ry/atom; ΔE_f (raw) = 0.64 eV/atom; spin magnetization = 6.34 μB per formula unit; symmetry = P4/mmm; DOS(E_F) = 6.63 states/eV per cell; calculated density = 4.2 g/cm³
1.0
5.065 0.000 0.000
0.000 6.502 0.000
0.000 0.000 5.065
V Hg Sr Cl
2 1 1 1
Direct
0.000 0.000 0.500 V
0.500 0.000 0.000 V
0.000 0.000 0.000 Hg
0.000 0.500 0.000 Sr
0.500 0.500 0.500 Cl